Below is a geometry-optimized ZnCr2WF structure, with properties calculated at the GGA+U level.

Computed properties:
density	4.5	Mg/m³
DFT total energy	-4.05	eV/atom

Unit cell a=5.166 b=5.166 c=5.179 alpha=90.00 beta=90.00 gamma=90.00
Space group P4/mmm (No. 123)
One atom of each set of equivalent atoms:
Zn: 0.000 0.000 0.000
Cr: 0.000 0.500 0.500
W: 0.000 0.000 0.500
F: 0.500 0.500 0.000